1.
# MgCd2Ni GGA-PBE relaxed
# - E_form: -0.03 eV/atom
data_MgCd2Ni
_chemical_formula_sum 'Mg2 Cd4 Ni2'
_symmetry_space_group_name_H-M 'C 1 m 1'
_symmetry_Int_Tables_number 8
_symmetry_space_group_name_Hall 'C -2y'
_cell_length_a 10.572
_cell_length_b 3.208
_cell_length_c 4.676
_cell_angle_alpha 90.00
_cell_angle_beta 114.38
_cell_angle_gamma 90.00
loop_
_atom_site_label
_atom_site_fract_x
_atom_site_fract_y
_atom_site_fract_z
Mg1 0.000 0.000 0.000
Cd1 0.215 0.000 0.713
Cd2 0.437 0.000 0.437
Ni1 0.215 0.500 0.212

=====

2.
# Tb2NdOs GGA-PBE relaxed
# - E_form: -0.17 eV/atom
data_Tb2NdOs
_chemical_formula_sum 'Tb8 Nd4 Os4'
_symmetry_space_group_name_H-M 'C m c m'
_symmetry_Int_Tables_number 63
_symmetry_space_group_name_Hall '-C 2c 2'
_cell_length_a 3.996
_cell_length_b 12.238
_cell_length_c 9.139
_cell_angle_alpha 90.00
_cell_angle_beta 90.00
_cell_angle_gamma 90.00
loop_
_atom_site_label
_atom_site_fract_x
_atom_site_fract_y
_atom_site_fract_z
Tb1 0.000 0.147 0.068
Nd1 0.000 0.426 0.250
Os1 0.000 0.244 0.750

=====

3.
# Ti2VOsN GGA-PBE relaxed
# - Uncorrected formation energy: -0.756 eV per atom
data_Ti2VOsN
_chemical_formula_sum 'Ti2 V1 Os1 N1'
_symmetry_space_group_name_H-M 'P 4/m m m'
_symmetry_Int_Tables_number 123
_symmetry_space_group_name_Hall '-P 4 2'
_cell_length_a 4.170
_cell_length_b 4.170
_cell_length_c 3.775
_cell_angle_alpha 90.00
_cell_angle_beta 90.00
_cell_angle_gamma 90.00
loop_
_atom_site_label
_atom_site_fract_x
_atom_site_fract_y
_atom_site_fract_z
Ti1 0.000 0.500 0.000
V1 0.000 0.000 0.500
Os1 0.500 0.500 0.500
N1 0.000 0.000 0.000

=====

4.
# BaAlPt2 GGA-PBE relaxed
# - E_form: -0.90 eV/atom
data_BaAlPt2
_chemical_formula_sum 'Ba2 Al2 Pt4'
_symmetry_space_group_name_H-M 'P m m n'
_symmetry_Int_Tables_number 59
_cell_length_a 4.353
_cell_length_b 6.990
_cell_length_c 6.360
_cell_angle_alpha 90.00
_cell_angle_beta 90.00
_cell_angle_gamma 90.00
loop_
_symmetry_equiv_pos_as_xyz
'x,y,z'
'-x,-y,-z'
'-x+1/2,-y+1/2,z'
'x+1/2,y+1/2,-z'
'x+1/2,-y,-z'
'-x+1/2,y,z'
'-x,y+1/2,-z'
'x,-y+1/2,z'
loop_
_atom_site_label
_atom_site_fract_x
_atom_site_fract_y
_atom_site_fract_z
Ba1 0.250 0.250 0.132
Al1 0.250 0.750 0.394
Pt1 0.250 0.054 0.629

=====

5.
# CaSe2BrCl GGA-PBE relaxed
# - Uncorrected formation energy: -0.191 eV per atom
data_CaSe2BrCl
_chemical_formula_sum 'Ca1 Se2 Br1 Cl1'
_symmetry_space_group_name_H-M 'P 4/m m m'
_symmetry_Int_Tables_number 123
_symmetry_space_group_name_Hall '-P 4 2'
_cell_length_a 5.902
_cell_length_b 5.902
_cell_length_c 5.440
_cell_angle_alpha 90.00
_cell_angle_beta 90.00
_cell_angle_gamma 90.00
loop_
_atom_site_label
_atom_site_fract_x
_atom_site_fract_y
_atom_site_fract_z
Ca1 0.000 0.000 0.000
Se1 0.000 0.500 0.000
Br1 0.000 0.000 0.500
Cl1 0.500 0.500 0.500

=====

6.
# NbMoP2 GGA-PBE relaxed
# - E_form: -0.58 eV/atom
data_NbMoP2
_chemical_formula_sum 'Nb3 Mo3 P6'
_symmetry_space_group_name_H-M 'R 3 m'
_symmetry_Int_Tables_number 160
_symmetry_space_group_name_Hall 'R 3 -2"'
_cell_length_a 3.3193
_cell_length_b 3.3193
_cell_length_c 19.5025
_cell_angle_alpha 90.00
_cell_angle_beta 90.00
_cell_angle_gamma 120.00
loop_
_atom_site_label
_atom_site_fract_x
_atom_site_fract_y
_atom_site_fract_z
Nb1 0.0000 0.0000 0.0000
Mo1 0.0000 0.0000 0.8354
P1 0.0000 0.0000 0.4206
P2 0.0000 0.0000 0.5805

=====

7.
# NbAsOs GGA-PBE relaxed
# - E_form: -0.05 eV/atom
data_NbAsOs
_chemical_formula_sum 'Nb4 As4 Os4'
_symmetry_space_group_name_H-M 'C 1 2/m 1'
_symmetry_Int_Tables_number 12
_symmetry_space_group_name_Hall '-C 2y'
_cell_length_a 7.538
_cell_length_b 4.356
_cell_length_c 6.896
_cell_angle_alpha 90.00
_cell_angle_beta 111.37
_cell_angle_gamma 90.00
loop_
_atom_site_label
_atom_site_fract_x
_atom_site_fract_y
_atom_site_fract_z
Nb1 0.134 0.000 0.401
As1 0.213 0.500 0.140
Os1 0.072 0.500 0.715

=====

8.
# NaLiH6Au2 GGA-PBE relaxed
# - Energy: -3.058 eV per atom
data_NaLiH6Au2
_chemical_formula_sum 'Na4 Li4 H24 Au8'
_symmetry_space_group_name_H-M 'C 1 2/c 1'
_symmetry_Int_Tables_number 15
_symmetry_space_group_name_Hall '-C 2yc'
_cell_length_a 10.004
_cell_length_b 7.895
_cell_length_c 5.973
_cell_angle_alpha 90.00
_cell_angle_beta 111.14
_cell_angle_gamma 90.00
loop_
_atom_site_label
_atom_site_fract_x
_atom_site_fract_y
_atom_site_fract_z
Na1 0.000 0.123 0.250
Li1 0.000 0.420 0.750
H1 0.065 0.366 0.089
H2 0.082 0.170 0.704
H3 0.248 0.033 0.563
Au1 0.244 0.355 0.188

=====

9.
# Rb3Cd5Hg12 GGA-PBE relaxed
# - E_form: -0.02 eV/atom
data_Rb3Cd5Hg12
_chemical_formula_sum 'Rb24 Cd40 Hg96'
_symmetry_space_group_name_H-M 'I a -3 d'
_symmetry_Int_Tables_number 230
_symmetry_space_group_name_Hall '-I 4bd 2c 3'
_cell_length_a 18.696
_cell_length_b 18.696
_cell_length_c 18.696
_cell_angle_alpha 90.00
_cell_angle_beta 90.00
_cell_angle_gamma 90.00
loop_
_atom_site_label
_atom_site_fract_x
_atom_site_fract_y
_atom_site_fract_z
Rb1 0.000 0.250 0.125
Cd1 0.000 0.000 0.000
Cd2 0.000 0.250 0.375
Hg1 0.067 0.068 0.624

=====

10.
# KSeS3 GGA-PBE relaxed
# - Uncorrected formation energy: 0.022 eV per atom
data_KSeS3
_chemical_formula_sum 'K1 Se1 S3'
_symmetry_space_group_name_H-M 'P m -3 m'
_symmetry_Int_Tables_number 221
_symmetry_space_group_name_Hall '-P 4 2 3'
_cell_length_a 4.930
_cell_length_b 4.930
_cell_length_c 4.930
_cell_angle_alpha 90.00
_cell_angle_beta 90.00
_cell_angle_gamma 90.00
loop_
_atom_site_label
_atom_site_fract_x
_atom_site_fract_y
_atom_site_fract_z
K1 0.000 0.000 0.000
Se1 0.500 0.500 0.500
S1 0.000 0.500 0.500

=====

11.
# SrLi3Os GGA-PBE relaxed
# - E_form: 1.73 eV/atom
data_SrLi3Os
_chemical_formula_sum 'Sr1 Li3 Os1'
_symmetry_space_group_name_H-M 'P m -3 m'
_symmetry_Int_Tables_number 221
_symmetry_space_group_name_Hall '-P 4 2 3'
_cell_length_a 4.488
_cell_length_b 4.488
_cell_length_c 4.488
_cell_angle_alpha 90.00
_cell_angle_beta 90.00
_cell_angle_gamma 90.00
loop_
_atom_site_label
_atom_site_fract_x
_atom_site_fract_y
_atom_site_fract_z
Sr1 0.000 0.000 0.000
Li1 0.000 0.000 0.500
Os1 0.500 0.500 0.500

=====

12.
# TaTiReRh GGA-PBE relaxed
# - E_form: -0.51 eV/atom
data_TaTiReRh
_chemical_formula_sum 'Ta4 Ti4 Re4 Rh4'
_symmetry_space_group_name_H-M 'F -4 3 m'
_symmetry_Int_Tables_number 216
_symmetry_space_group_name_Hall 'F -4 2 3'
_cell_length_a 6.315
_cell_length_b 6.315
_cell_length_c 6.315
_cell_angle_alpha 90.00
_cell_angle_beta 90.00
_cell_angle_gamma 90.00
loop_
_atom_site_label
_atom_site_fract_x
_atom_site_fract_y
_atom_site_fract_z
Ta1 0.000 0.000 0.000
Ti1 0.000 0.000 0.500
Re1 0.250 0.250 0.250
Rh1 0.250 0.250 0.750

=====

Number 1: mass density 7.08 g cm⁻³. Number 2: mass density 9.69 g cm⁻³. Number 3: mass density 8.88 g cm⁻³. Number 4: mass density 9.52 g cm⁻³. Number 5: mass density 2.75 g cm⁻³. Number 6: mass density 6.71 g cm⁻³. Number 7: mass density 11.28 g cm⁻³. Number 8: mass density 6.49 g cm⁻³. Number 9: mass density 6.56 g cm⁻³. Number 10: mass density 2.97 g cm⁻³. Number 11: mass density 5.49 g cm⁻³. Number 12: mass density 13.66 g cm⁻³.